# LiCu2Ag

A relaxed structure of LiCu2Ag (PBE, Alexandria via LeMat-Bulk).

CIF file:
```
data_LiCu2Ag
_cell_length_a 5.2791
_cell_length_b 7.8080
_cell_length_c 2.7290
_cell_angle_alpha 90.00
_cell_angle_beta 90.00
_cell_angle_gamma 90.00
_space_group_name_H-M_alt 'C m m m'
_space_group_IT_number 65
_space_group_name_Hall '-C 2 2'
loop_
_atom_site_label
_atom_site_type_symbol
_atom_site_fract_x
_atom_site_fract_y
_atom_site_fract_z
Li1 Li 0.0000 0.0000 0.0000
Cu1 Cu 0.2500 0.2500 0.5000
Ag1 Ag 0.0000 0.5000 0.0000
```

Computed properties:
theoretical density = 7.14 g/cm³
V = 112.5 Å³/cell
electronic total energy = -12.907 eV per formula unit
density of states at the Fermi level = 1.183 states/eV/f.u.